A plane-wave DFT calculation with meta-GGA SCAN was carried out for BaSb2Mo at its PBEsol-relaxed geometry.

As for the density of states at the Fermi level: 2.46 states/eV/f.u. The calculation puts the uncorrected energy at -591.9 eV/cell. The crystal system is cubic. The calculation puts the energy above the most stable polymorph in this dataset at 503 meV per atom. For the raw formation energy, the calculation gives 23.9 kJ per mole of atoms. The calculation puts the theoretical density at 8.01 g/cm3.

The space group is Fm-3m (No. 225) and the conventional cell measures 7.341, 7.341 and 7.341 Å, with angles of 90.00, 90.00 and 90.00 degrees. Symmetry generates all atoms from Ba at (0.000, 0.000, 0.000), Sb at (0.250, 0.250, 0.250) and Mo at (0.000, 0.000, 0.500).